Record 1
Computed, not measured: Ta2AlPb after structural relaxation at the GGA-PBEsol level of DFT.

abc: 5.8013 8.6937 2.9431
angles: 90.00 90.00 90.00
With the nearest neighbours (Å) after each atom.
Space group Cmmm (No. 65)
One atom of each set of equivalent atoms:
Ta  0.2500  0.2500  0.0000 [4 per cell]  4 Ta 2.90-2.94, 4 Pb 3.00, 4 Al 3.00
Al  0.0000  0.0000  0.5000 [2 per cell]  2 Pb 2.90, 2 Al 2.94, 8 Ta 3.00
Pb  0.0000  0.5000  0.5000 [2 per cell]  2 Al 2.90, 2 Pb 2.94, 8 Ta 3.00

Output
E in eV per atom: -7.93
ρ in g cm⁻³: 13.3
Spin magnetization in μB/atom: 0.000
ΔH_f (0 K) in eV per atom: 0.365
DOS at the Fermi energy in states/eV/cell: 4.54

Record 2
Computed, not measured: HfAs2HSe after structural relaxation at the GGA-PBEsol level of DFT.

abc: 3.8857 3.8857 5.1971
angles: 90.00 90.00 90.00
With the nearest neighbours (Å) after each atom.
Space group P4/mmm (No. 123)
One atom of each set of equivalent atoms:
Hf  0.0000  0.0000  0.0000 [1 per cell]  4 Se 2.75
As  0.0000  0.5000  0.5000 [2 per cell]  2 H 1.94
H  0.5000  0.5000  0.5000 [1 per cell]  4 As 1.94
Se  0.5000  0.5000  0.0000 [1 per cell]  2 H 2.60, 4 Hf 2.75

Output
E in eV per atom: -5.59
ρ in g cm⁻³: 8.6
Spin magnetization in μB/atom: 0.000
DOS at the Fermi energy in states/eV/cell: 1.78

Record 3
Computed, not measured: GaSiHg3 after structural relaxation at the GGA-PBEsol level of DFT.

abc: 5.0376 5.0376 5.0376
angles: 90.00 90.00 90.00
With the nearest neighbours (Å) after each atom.
Space group Pm-3m (No. 221)
One atom of each set of equivalent atoms:
Ga  0.0000  0.0000  0.0000 [1 per cell]  12 Hg 3.56
Si  0.5000  0.5000  0.5000 [1 per cell]  6 Hg 2.52
Hg  0.0000  0.5000  0.5000 [3 per cell]  2 Si 2.52

Output
E in eV per atom: -1.81
ρ in g cm⁻³: 9.1
Spin magnetization in μB/atom: 0.000
DOS at the Fermi energy in states/eV/cell: 1.70

Record 4
Computed, not measured: Pm2PdPt after structural relaxation at the GGA-PBEsol level of DFT.

abc: 7.0520 7.0520 7.0520
angles: 90.00 90.00 90.00
With the nearest neighbours (Å) after each atom.
Space group Fm-3m (No. 225)
One atom of each set of equivalent atoms:
Pm  0.2500  0.2500  0.2500 [8 per cell]  4 Pd 3.05, 4 Pt 3.05
Pd  0.0000  0.0000  0.0000 [4 per cell]  8 Pm 3.05
Pt  0.0000  0.0000  0.5000 [4 per cell]  8 Pm 3.05

Output
E in eV per atom: -6.69
ρ in g cm⁻³: 11.2
Spin magnetization in μB/atom: 0.000
ΔH_f (0 K) in eV per atom: -0.890
DOS at the Fermi energy in states/eV/cell: 10.91

Record 5
Computed, not measured: In2Ir after structural relaxation at the GGA-PBEsol level of DFT.

abc: 4.6069 4.6069 2.9753
angles: 90.00 90.00 90.00
With the nearest neighbours (Å) after each atom.
Space group P4/mmm (No. 123)
One atom of each set of equivalent atoms:
In  0.0000  0.5000  0.0000 [2 per cell]  4 Ir 2.74, 2 In 2.98
Ir  0.0000  0.0000  0.5000 [1 per cell]  8 In 2.74, 2 Ir 2.98

Output
E in eV per atom: -5.37
ρ in g cm⁻³: 11.1
Spin magnetization in μB/atom: 0.000
ΔH_f (0 K) in eV per atom: -0.111
DOS at the Fermi energy in states/eV/cell: 1.36

Record 6
Computed, not measured: Mn3BeZn after structural relaxation at the GGA-PBEsol level of DFT.

abc: 4.0138 4.0138 4.0138
angles: 90.00 90.00 90.00
With the nearest neighbours (Å) after each atom.
Space group Pm-3m (No. 221)
One atom of each set of equivalent atoms:
Mn  0.0000  0.0000  0.5000 [3 per cell]  2 Be 2.01
Be  0.0000  0.0000  0.0000 [1 per cell]  6 Mn 2.01
Zn  0.5000  0.5000  0.5000 [1 per cell]  12 Mn 2.84

Output
E in eV per atom: -6.30
ρ in g cm⁻³: 6.1
Spin magnetization in μB/atom: 1.734
ΔH_f (0 K) in eV per atom: 0.670
DOS at the Fermi energy in states/eV/cell: 3.99